This record from OQMD via LeMat-Bulk describes a relaxed structure of DyCoSi. The functional is PBE.

Summary:
The value obtained for the final energy is -5.67 eV/atom. As for the space group: No. 189.

Cell and atoms, written as POSCAR:
```
DyCoSi
1.0
7.683 0.000 0.000
-3.842 6.654 0.000
0.000 0.000 3.105
Dy Co Si
3 3 3
Direct
0.000 0.291 0.000
0.291 0.000 0.000
0.709 0.709 0.000
0.000 0.598 0.500
0.402 0.402 0.500
0.598 0.000 0.500
0.000 0.000 0.500
0.333 0.667 0.000
0.667 0.333 0.000
```